Here is crystalline Be2PbN2 at its relaxed geometry from the Alexandria database. Energies are from PBE.

Lattice parameters (Å, degrees): 6.991 6.991 2.764 90.00 90.00 90.00
Positions (direct):
1 N 0.578 0.922 0.500
2 Be 0.600 0.100 0.000
3 Pb 0.000 0.000 0.000
4 N 0.078 0.578 0.500
5 N 0.922 0.422 0.500
6 Pb 0.500 0.500 0.000
7 Be 0.100 0.400 0.000
8 Be 0.400 0.900 0.000
9 N 0.422 0.078 0.500
10 Be 0.900 0.600 0.000

Output
Size of the total moment = 0.000 μB per atom
DOS(E_F) = 4.1 states/eV/cell
ΔE_f (raw) = 784 meV per atom